Computed, not measured: an optimized crystal structure of Na3In at the PBE-GGA level of DFT.

Cell lengths 4.8827, 4.8827, 9.9949 Å; angles 90.00, 90.00, 90.00 degrees
With the nearest neighbours (Å) after each atom.
Space group I4/mmm (No. 139)
Inequivalent atoms, fractional coordinates:
Na 0.0000 0.0000 0.0000  4 In 3.45, 8 Na 3.49
Na 0.0000 0.5000 0.2500  8 Na 3.45-3.49, 4 In 3.49
In 0.0000 0.0000 0.5000  12 Na 3.45-3.49

Its total DFT energy (no corrections) is -1.729 eV/atom. The spin magnetization comes out at 0.00 μB/f.u. The calculation puts the formation energy at -0.055 eV per atom.

---

Computed, not measured: an optimized crystal structure of Na3In5 at the PBE-GGA level of DFT.

Cell lengths 4.7929, 4.7929, 18.3980 Å; angles 90.00, 90.00, 90.00 degrees
With the nearest neighbours (Å) after each atom.
Space group I-4m2 (No. 119)
Inequivalent atoms, fractional coordinates:
Na 0.0000 0.0000 0.0000  8 In 3.31-3.39, 4 Na 3.36
Na 0.0000 0.5000 0.1279  10 In 3.24-3.39, 2 Na 3.36
In 0.0000 0.0000 0.2468  4 Na 3.24-3.33, 8 In 3.30-3.39
In 0.0000 0.0000 0.5000  4 In 3.31, 8 Na 3.36-3.39
In 0.0000 0.5000 0.6239  6 In 3.30-3.38, 6 Na 3.31-3.39

Its total DFT energy (no corrections) is -2.297 eV/atom. Its energy relative to the lowest polymorph listed for this composition is 0.0 meV per atom. The spin magnetization comes out at 0.00 μB/f.u. The calculation puts the formation energy at -0.091 eV per atom.